An optimized crystal structure of Nd2Ho2In3, computed with GGA-PBE. Values from VASP.

Structure (Quantum ESPRESSO input):
```
&SYSTEM
  ibrav = 0, nat = 7, ntyp = 3
/
ATOMIC_SPECIES
Ho 164.93 Ho.upf
Nd 144.24 Nd.upf
In 114.82 In.upf
CELL_PARAMETERS angstrom
3.940 -0.010 0.012
-1.943 6.122 -1.262
-0.014 -1.731 8.958
ATOMIC_POSITIONS crystal
Ho 0.633 0.266 0.825
Ho 0.367 0.734 0.175
Nd 0.888 0.772 0.549
Nd 0.112 0.228 0.451
In 0.328 0.654 0.795
In 0.000 0.000 0.000
In 0.672 0.346 0.205
```

Calculated values
- spin magnetization (μB per cell) = 0.00
- space-group type = P-1 (2)
- excess energy over the best structure of this formula in the dataset (meV/atom) = 30